VASP calculation (PBE-GGA) on a relaxed structure of MnPtCl.

## Properties
Theoretical density, g cm⁻³: 9.62
M_tot, μB/atom: 1.45
ΔE_f (raw), eV/atom: 0.2006
ΔE to the lowest computed polymorph, kcal/mol of atoms: 9.70
Raw total energy, eV/atom: -5.4851

Unit cell a=4.3313 b=4.3313 c=3.0343 alpha=90.00 beta=90.00 gamma=120.00
Space group P3m1 (No. 156)
Asymmetric unit:
1 Mn 0.0000 0.0000 0.0000 [1 per cell]
2 Pt 0.3333 0.6667 0.4790 [1 per cell]
3 Cl 0.6667 0.3333 0.8727 [1 per cell]

=====

VASP calculation (PBE-GGA) on a relaxed structure of MnPtCl2.

## Properties
Theoretical density, g cm⁻³: 5.29
M_tot, μB/atom: 1.25
ΔE_f (raw), eV/atom: -0.2261
ΔE to the lowest computed polymorph, kcal/mol of atoms: 4.19
Raw total energy, eV/atom: -4.9521

Unit cell a=9.380 b=3.480 c=6.206 alpha=90.00 beta=95.93 gamma=90.00
Space group Cm (No. 8)
Asymmetric unit:
1 Mn 0.000 0.000 0.000 [2 per cell]
2 Pt 0.208 0.500 0.987 [2 per cell]
3 Cl 0.073 0.500 0.285 [2 per cell]
4 Cl 0.351 0.000 0.759 [2 per cell]

=====

VASP calculation (PBE-GGA) on a relaxed structure of MnPtCl2.

## Properties
Theoretical density, g cm⁻³: 6.66
M_tot, μB/atom: 1.08
ΔE_f (raw), eV/atom: -0.1377
ΔE to the lowest computed polymorph, kcal/mol of atoms: 6.23
Raw total energy, eV/atom: -4.8636

Unit cell a=3.080 b=3.080 c=8.441 alpha=90.00 beta=90.00 gamma=90.00
Space group P4mm (No. 99)
Asymmetric unit:
1 Mn 0.000 0.000 0.000 [1 per cell]
2 Pt 0.500 0.500 0.199 [1 per cell]
3 Cl 0.000 0.000 0.405 [1 per cell]
4 Cl 0.500 0.500 0.822 [1 per cell]

=====

VASP calculation (PBE-GGA) on a relaxed structure of Mn4PtCl.

## Properties
Theoretical density, g cm⁻³: 8.71
M_tot, μB/atom: 1.74
ΔE_f (raw), eV/atom: 0.6778
Raw total energy, eV/atom: -6.7498

Unit cell a=7.001 b=7.001 c=7.001 alpha=90.00 beta=90.00 gamma=90.00
Space group F-43m (No. 216)
Asymmetric unit:
1 Mn 0.125 0.125 0.125 [16 per cell]
2 Pt 0.000 0.000 0.500 [4 per cell]
3 Cl 0.250 0.250 0.750 [4 per cell]